[1]
Er4TlCdO after structural relaxation. Source: the Alexandria database, functional GGA-PBE.

Cell and atoms, written as POSCAR:
```
Er4TlCdO
1.0
-0.125 -6.469 -0.928
2.171 -0.917 6.097
-7.442 3.002 3.102
Er Tl Cd O
8 2 2 2
Direct
0.920 0.250 0.841
0.423 0.750 0.847
0.080 0.750 0.159
0.577 0.250 0.153
0.500 0.500 0.500
0.000 0.000 0.500
0.500 0.000 0.500
0.000 0.500 0.500
0.112 0.250 0.225
0.888 0.750 0.775
0.615 0.750 0.231
0.385 0.250 0.769
0.249 0.750 0.497
0.751 0.250 0.503
```

Calculated values
For the uncorrected formation energy, the calculation gives -664 kJ/mol of formula units. As for the space group: No. 63. For the magnetization, the calculation gives 0.00 μB per formula unit.



[2]
CsBe2As2 after structural relaxation. Source: the Alexandria database, functional GGA-PBE.

Cell and atoms, written as POSCAR:
```
CsBe2As2
1.0
3.709 0.000 0.000
0.000 3.709 0.000
1.855 1.855 7.995
Cs Be As
1 2 2
Direct
0.000 0.000 0.000
0.750 0.250 0.500
0.250 0.750 0.500
0.339 0.339 0.323
0.661 0.661 0.677
```

Calculated values
As for the space group: No. 139. For the magnetization, the calculation gives 0.00 μB per formula unit. The calculation puts the polymorph energy (0 for the lowest one) at 0 meV/atom. The formation energy is -6.526 kcal/mol of atoms.



[3]
Tb4CeTm3 after structural relaxation. Source: the Alexandria database, functional GGA-PBE.

Cell and atoms, written as POSCAR:
```
Tb4CeTm3
1.0
-4.801 -2.759 -2.835
4.150 -5.697 -1.485
-3.023 -4.739 9.732
Tb Ce Tm
8 2 6
Direct
0.144 0.871 0.000
0.647 0.129 0.000
0.985 0.127 0.250
0.485 0.873 0.250
0.147 0.871 0.500
0.644 0.129 0.500
0.485 0.873 0.750
0.985 0.127 0.750
0.147 0.377 0.000
0.647 0.623 0.500
0.650 0.622 0.000
0.979 0.622 0.250
0.479 0.378 0.250
0.150 0.378 0.500
0.479 0.378 0.750
0.979 0.622 0.750
```

Calculated values
As for the space group: No. 31. For the magnetization, the calculation gives 1.18 μB per formula unit. The calculation puts the polymorph energy (0 for the lowest one) at 0 meV/atom. The formation energy is 0.834 kcal/mol of atoms.



[4]
TaCl2 after structural relaxation. Source: the Alexandria database, functional GGA-PBE.

Cell and atoms, written as POSCAR:
```
TaCl2
1.0
-3.403 1.675 3.762
0.226 2.807 -4.541
-1.685 -4.873 -1.400
Ta Cl
2 4
Direct
0.750 0.750 0.000
0.250 0.250 0.000
0.180 0.320 0.500
0.820 0.680 0.500
0.680 0.180 0.860
0.320 0.820 0.140
```

Calculated values
For the uncorrected formation energy, the calculation gives -33 kJ/mol of formula units. As for the space group: No. 140. For the magnetization, the calculation gives 0.00 μB per formula unit.



[5]
Ti2MnNb after structural relaxation. Source: the Alexandria database, functional GGA-PBE.

Cell and atoms, written as POSCAR:
```
Ti2MnNb
1.0
-1.290 3.977 -5.555
-6.789 -1.382 0.587
-4.335 3.430 -0.888
Nb Mn Ti
2 2 4
Direct
0.000 0.000 0.000
0.750 0.250 0.500
0.500 0.500 0.000
0.250 0.750 0.500
0.581 0.125 0.250
0.169 0.625 0.250
0.375 0.419 0.750
0.875 0.831 0.750
```

Calculated values
As for the space group: No. 122. For the magnetization, the calculation gives 0.00 μB per formula unit. The calculation puts the polymorph energy (0 for the lowest one) at 436 meV/atom. The formation energy is 7.224 kcal/mol of atoms.



[6]
Mo3PbCl after structural relaxation. Source: the Alexandria database, functional GGA-PBE.

Cell and atoms, written as POSCAR:
```
Mo3PbCl
1.0
4.496 0.000 0.000
0.000 4.496 0.000
0.000 0.000 4.496
Pb Mo Cl
1 3 1
Direct
0.500 0.500 0.500
0.000 0.500 0.000
0.000 0.000 0.500
0.500 0.000 0.000
0.000 0.000 0.000
```

Calculated values
For the uncorrected formation energy, the calculation gives 524 kJ/mol of formula units. As for the space group: No. 221. For the magnetization, the calculation gives 0.00 μB per formula unit.